Record 1
Compound: HfRhPb2S
Source: Alexandria
Functional: PBE
Structure: optimized geometry

* energy relative to the elements, uncorrected: 0.248 eV/atom

abc: 5.2226 5.2226 4.9844
angles: 90.00 90.00 90.00
With the nearest neighbours (Å) after each atom.
Space group P4/mmm (No. 123)
Unique sites:
Hf 0.0000 0.0000 0.0000 x1  2 Rh 2.49
Rh 0.0000 0.0000 0.5000 x1  2 Hf 2.49, 4 Pb 2.61
Pb 0.0000 0.5000 0.5000 x2  2 Rh 2.61
S 0.5000 0.5000 0.0000 x1  8 Pb 3.61, 4 Hf 3.69

Record 2
Compound: Sc2NiHgH
Source: Alexandria
Functional: PBE
Structure: optimized geometry

* energy relative to the lowest polymorph listed for this composition: 0.00 eV/f.u.

abc: 4.7202 4.7202 3.4840
angles: 90.00 90.00 90.00
With the nearest neighbours (Å) after each atom.
Space group P4/mmm (No. 123)
Unique sites:
Sc 0.0000 0.5000 0.0000 x2  2 H 2.36
Ni 0.0000 0.0000 0.5000 x1  2 H 1.74
Hg 0.5000 0.5000 0.5000 x1  8 Sc 2.93
H 0.0000 0.0000 0.0000 x1  2 Ni 1.74

Record 3
Compound: SrAsC2
Source: Alexandria
Functional: PBE
Structure: optimized geometry

abc: 6.0181 6.0181 7.0500
angles: 90.00 90.00 90.00
With the nearest neighbours (Å) after each atom.
Space group I-42d (No. 122)
Unique sites:
Sr 0.0000 0.0000 0.0000 x4  4 C 2.73
As 0.0000 0.0000 0.5000 x4  4 C 1.97
C 0.1518 0.7500 0.6250 x8  2 As 1.97

Record 4
Compound: TiRhSeN2
Source: Alexandria
Functional: PBE
Structure: optimized geometry

* energy relative to the elements, uncorrected: 0.833 eV/atom
* energy relative to the lowest polymorph listed for this composition: 1.35 eV/f.u.

abc: 3.8276 3.8276 5.1419
angles: 90.00 90.00 90.00
With the nearest neighbours (Å) after each atom.
Space group P4/mmm (No. 123)
Unique sites:
Ti 0.0000 0.0000 0.0000 x1  4 Se 2.71
Rh 0.5000 0.5000 0.5000 x1  4 N 1.91
Se 0.5000 0.5000 0.0000 x1  2 Rh 2.57, 4 Ti 2.71
N 0.0000 0.5000 0.5000 x2  2 Rh 1.91

Record 5
Compound: Sm2GaPPt6
Source: Alexandria
Functional: PBE
Structure: optimized geometry

abc: 5.5695 8.5874 8.2247
angles: 90.00 90.00 90.00
With the nearest neighbours (Å) after each atom.
Space group Pmmn (No. 59, origin choice 2)
Unique sites:
Sm 0.2500 0.0126 0.2292 x4  9 Pt 3.06-3.27
Ga 0.2500 0.7500 0.7806 x2  6 Pt 2.49-2.59
P 0.2500 0.2500 0.7416 x2  6 Pt 2.33-2.53
Pt 0.0008 0.7500 0.0319 x4  1 P 2.33, 1 Ga 2.49
Pt 0.0005 0.7500 0.5146 x4  1 P 2.53, 1 Ga 2.59, 6 Pt 2.72-2.79
Pt 0.2500 0.0044 0.6172 x4  1 P 2.34, 1 Ga 2.57

Record 6
Compound: CuP2Ru
Source: Alexandria
Functional: PBE
Structure: optimized geometry

* energy relative to the lowest polymorph listed for this composition: 1.35 eV/f.u.

abc: 3.5852 3.5852 8.1730
angles: 90.00 90.00 90.00
With the nearest neighbours (Å) after each atom.
Space group I-4m2 (No. 119)
Unique sites:
Cu 0.0000 0.0000 0.0000 x2  8 P 2.54-2.72, 4 Ru 2.72
P 0.0000 0.0000 0.5000 x2  4 Cu 2.54, 4 Ru 2.72, 4 P 2.72
P 0.0000 0.5000 0.7500 x2  4 Ru 2.54, 4 Cu 2.72, 4 P 2.72
Ru 0.0000 0.5000 0.2500 x2  8 P 2.54-2.72, 4 Cu 2.72

Record 7
Compound: SrCd2GePd2
Source: Alexandria
Functional: PBE
Structure: optimized geometry

abc: 4.7856 4.7856 6.1841
angles: 90.00 90.00 90.00
With the nearest neighbours (Å) after each atom.
Space group P4/mmm (No. 123)
Unique sites:
Sr 0.0000 0.0000 0.0000 x1  2 Ge 3.09
Cd 0.5000 0.5000 0.2363 x2  4 Pd 2.90, 1 Cd 2.92
Ge 0.0000 0.0000 0.5000 x1  4 Pd 2.39
Pd 0.0000 0.5000 0.5000 x2  2 Ge 2.39

Record 8
Compound: Sr2Cu3GeAu12
Source: Alexandria
Functional: PBE
Structure: optimized geometry

abc: 7.1404 7.1404 26.8853
angles: 90.00 90.00 120.00
With the nearest neighbours (Å) after each atom.
Space group R-3m (No. 166, hexagonal axes)
Unique sites:
Sr 0.0000 0.0000 0.1508 x6  6 Au 3.27-3.29
Cu 0.0000 0.5000 0.0000 x9  6 Au 2.59-2.66
Ge 0.0000 0.0000 0.5000 x3  6 Au 2.55
Au 0.0469 0.5234 0.0982 x18  1 Ge 2.55, 1 Cu 2.66, 2 Au 2.80
Au 0.0646 0.5323 0.6214 x18  2 Cu 2.59, 4 Au 2.80-2.88

Record 9
Compound: Tb5Pm5Sm2
Source: Alexandria
Functional: PBE
Structure: optimized geometry

abc: 15.3196 5.0973 11.4174
angles: 90.00 116.54 90.00
With the nearest neighbours (Å) after each atom.
Space group C2/m (No. 12)
Unique sites:
Tb 0.0000 0.0000 0.0000 x2  8 Pm 3.60-3.61, 2 Tb 3.62, 2 Sm 3.62
Tb 0.1679 0.0000 0.5006 x4  5 Pm 3.58-3.62, 5 Tb 3.59-3.60, 2 Sm 3.61-3.62
Tb 0.2501 0.0000 0.2511 x4  4 Tb 3.59-3.62, 6 Pm 3.60-3.62, 2 Sm 3.61
Pm 0.0000 0.5000 0.5000 x2  4 Sm 3.60, 6 Tb 3.61-3.62, 2 Pm 3.61
Pm 0.0843 0.5000 0.2507 x4  7 Tb 3.58-3.61, 3 Pm 3.61-3.62, 2 Sm 3.62
Pm 0.1662 0.5000 0.9995 x4  5 Tb 3.60-3.62, 4 Pm 3.61-3.62, 3 Sm 3.61-3.62
Sm 0.0831 0.0000 0.7489 x4  7 Pm 3.60-3.62, 5 Tb 3.61-3.62

Record 10
Compound: BaErBeN2
Source: Alexandria
Functional: PBE
Structure: optimized geometry

* energy relative to the elements, uncorrected: -0.826 eV/atom

abc: 5.7401 5.1777 6.7488
angles: 90.00 90.02 90.00
With the nearest neighbours (Å) after each atom.
Space group P2/c (No. 13)
Unique sites:
Ba 0.0000 0.0008 0.2500 x2  4 N 2.90
Er 0.5000 0.5001 0.2500 x2  4 N 2.32
Be 0.5000 0.0000 0.0000 x2  2 N 1.54
N 0.3466 0.2450 0.0000 x4  1 Be 1.54

Record 11
Compound: YBeP2
Source: Alexandria
Functional: PBE
Structure: optimized geometry

abc: 3.5949 3.8055 5.1414
angles: 90.00 90.00 90.00
With the nearest neighbours (Å) after each atom.
Space group Pmmm (No. 47)
Unique sites:
Y 0.0000 0.0000 0.0000 x1  8 P 2.92, 4 Be 3.20
Be 0.0000 0.5000 0.5000 x1  4 P 2.20
P 0.5000 0.5000 0.2530 x2  2 Be 2.20

Record 12
Compound: CoTeAs2
Source: Alexandria
Functional: PBE
Structure: optimized geometry

* energy relative to the elements, uncorrected: 0.083 eV/atom

abc: 3.4591 3.4591 22.7159
angles: 90.00 90.00 120.00
With the nearest neighbours (Å) after each atom.
Space group R-3m (No. 166, hexagonal axes)
Unique sites:
Co 0.0000 0.0000 0.0000 x3  6 As 2.37
Te 0.0000 0.0000 0.5000 x3  6 As 3.21, 6 Te 3.46
As 0.0000 0.0000 0.2774 x6  3 Co 2.37

no.,electronic total energy (eV per atom)
1,-5.52
2,-4.85
3,-5.35
4,-6.24
5,-6.33
6,-5.86
7,-3.51
8,-3.42
9,-4.68
10,-6.20
11,-5.84
12,-4.80